Entry 1:
YTiCu: relaxed, GGA-PBE.

formation enthalpy at 0 K: 0.0 kcal/mol of atoms

extended XYZ file:
```
6
Lattice="-1.750 3.742 0.929 -3.796 -4.200 0.121 0.788 -0.952 5.321" Properties=species:S:1:pos:R:3 pbc="T T T"
Y -2.056 -2.662 2.868
Y -4.030 -0.667 0.756
Cu -1.217 0.386 1.820
Cu -2.869 2.208 1.013
Ti -1.202 2.404 3.366
Ti -0.820 -0.108 4.562
```



Entry 2:
CsFe2Si2: relaxed, GGA-PBE.

raw formation energy: 0.068 eV per atom

extended XYZ file:
```
5
Lattice="-2.294 -3.340 0.385 3.328 -2.190 0.829 -0.291 -1.429 7.378" Properties=species:S:1:pos:R:3 pbc="T T T"
Cs 0.000 0.000 0.000
Si 0.220 -2.273 3.100
Si 0.524 -4.686 5.493
Fe -1.034 -3.767 4.185
Fe 1.777 -3.192 4.408
```



Entry 3:
Er5ThAl3: relaxed, GGA-PBE.

formation enthalpy at 0 K: -5.9 kcal/mol of atoms

extended XYZ file:
```
18
Lattice="-5.662 -3.301 -0.379 4.377 -7.723 1.867 -3.388 5.037 6.740" Properties=species:S:1:pos:R:3 pbc="T T T"
Er 1.789 -3.469 3.493
Er -3.630 -0.867 4.924
Er -0.799 0.783 5.113
Er -1.042 -5.120 3.304
Er -3.587 -4.265 5.455
Er -0.998 -8.519 3.828
Er -2.787 -5.049 0.338
Er -1.085 -1.721 2.773
Er -3.674 2.533 4.400
Er 1.503 -5.974 1.150
Th 0.000 0.000 0.000
Th -2.831 -1.650 -0.190
Al -3.913 -3.381 2.619
Al -2.114 -6.860 6.049
Al -1.346 -7.593 0.953
Al -0.759 -2.606 5.609
Al -2.558 0.873 2.179
Al 0.061 -3.430 0.535
```



Entry 4:
Tb2BeSi2Ir5: relaxed, GGA-PBE.

raw formation energy: -0.726 eV per atom

extended XYZ file:
```
20
Lattice="3.415 0.000 0.000 0.000 9.677 0.000 0.000 0.000 9.677" Properties=species:S:1:pos:R:3 pbc="T T T"
Tb 0.000 6.521 1.682
Tb 0.000 3.156 7.995
Tb 0.000 1.682 3.156
Tb 0.000 7.995 6.521
Be 0.000 0.000 0.000
Be 0.000 4.838 4.838
Si 0.000 1.233 6.071
Si 0.000 8.444 3.606
Si 0.000 6.071 8.444
Si 0.000 3.606 1.233
Ir 1.707 1.975 0.626
Ir 1.707 7.702 9.051
Ir 1.707 0.626 7.702
Ir 1.707 6.814 4.212
Ir 1.707 9.051 1.975
Ir 1.707 2.863 5.465
Ir 1.707 5.465 6.814
Ir 1.707 4.212 2.863
Ir 1.707 4.838 0.000
Ir 1.707 0.000 4.838
```



Entry 5:
Na12Tl5In2: relaxed, GGA-PBE.

formation enthalpy at 0 K: -1.8 kcal/mol of atoms

extended XYZ file:
```
19
Lattice="-3.365 1.853 -3.180 1.158 -8.118 -9.802 -6.137 -10.634 -3.549" Properties=species:S:1:pos:R:3 pbc="T T T"
Na -4.806 -16.559 -12.267
Na -0.407 -4.622 -6.136
Na -3.923 -5.834 -3.122
Na -2.242 -5.907 -8.837
Na -5.798 -7.134 -5.788
Na -2.358 -7.693 -5.845
Na -5.986 -9.206 -10.686
Na -6.102 -10.992 -7.695
Na -2.546 -9.766 -10.743
Na -7.937 -12.278 -10.395
Na -4.421 -11.065 -13.410
Na -3.538 -0.341 -4.264
Tl -2.006 -3.216 -3.634
Tl -3.851 -4.342 -6.239
Tl -1.683 0.927 -1.590
Tl -4.493 -12.557 -10.293
Tl -6.338 -13.683 -12.897
In -4.605 -10.106 -4.862
In -0.374 -8.647 -8.489
```



Entry 6:
SrLiHgAu2: relaxed, GGA-PBE.

formation enthalpy at 0 K: 4.5 kcal/mol of atoms

extended XYZ file:
```
5
Lattice="-1.715 5.541 -0.020 -3.871 -1.215 -4.599 -4.159 -1.274 3.837" Properties=species:S:1:pos:R:3 pbc="T T T"
Sr 0.000 0.000 0.000
Au -2.080 -0.637 1.919
Au -0.858 2.771 -0.010
Hg -1.935 -0.607 -2.299
Li -4.873 1.526 -0.391
```



Number 2 is which compound? CsFe2Si2